Record 1
First-principles (PBE-GGA) data for crystalline SrLiNi2 at its relaxed geometry, as listed in Alexandria.

DFT total energy   -3.433 eV per atom
Distance to the lowest polymorph of the same formula   1.44 eV/f.u.
Formation energy   0.357 eV/atom
Density   4.77 g/cm³

Cell: 6.6568 6.6568 6.6568 Å, 90.00 90.00 90.00°
Space group Fm-3m (No. 225)
Unique sites:
Sr  0.0000  0.0000  0.0000 [4 per cell]
Li  0.0000  0.0000  0.5000 [4 per cell]
Ni  0.2500  0.2500  0.2500 [8 per cell]

***

Record 2
First-principles (PBE-GGA) data for crystalline SrLa3Ru at its relaxed geometry, as listed in Alexandria.

DFT total energy   -4.345 eV per atom
Distance to the lowest polymorph of the same formula   4.91 eV/f.u.
Formation energy   0.803 eV/atom
Density   4.47 g/cm³

Cell: 5.8240 5.8240 26.5012 Å, 90.00 90.00 90.00°
Space group I-4m2 (No. 119)
Unique sites:
Sr  0.0000  0.0000  0.0000 [2 per cell]
Sr  0.0000  0.5000  0.2500 [2 per cell]
La  0.0000  0.0000  0.2919 [4 per cell]
La  0.0000  0.2364  0.1398 [8 per cell]
Ru  0.0000  0.5000  0.7032 [4 per cell]

***

Record 3
First-principles (PBE-GGA) data for crystalline LiAc6Tl2 at its relaxed geometry, as listed in Alexandria.

DFT total energy   -3.411 eV per atom
Formation energy   0.067 eV/atom
Density   7.80 g/cm³

Cell: 5.6059 8.0182 16.8331 Å, 90.00 90.00 90.00°
Space group Immm (No. 71)
Unique sites:
Li  0.0000  0.0000  0.0000 [2 per cell]
Ac  0.0000  0.2480  0.1649 [8 per cell]
Ac  0.0000  0.2532  0.5000 [4 per cell]
Tl  0.0000  0.0000  0.3338 [4 per cell]

***

Record 4
First-principles (PBE-GGA) data for crystalline AlNiRu at its relaxed geometry, as listed in Alexandria.

DFT total energy   -6.597 eV per atom
Formation energy   -0.330 eV/atom
Density   8.05 g/cm³

Cell: 3.9617 9.8611 3.9453 Å, 90.00 90.00 90.00°
Space group Cmmm (No. 65)
Unique sites:
Al  0.0000  0.0000  0.0000 [2 per cell]
Al  0.0000  0.5000  0.5000 [2 per cell]
Ni  0.0000  0.1643  0.5000 [4 per cell]
Ru  0.0000  0.3401  0.0000 [4 per cell]

***

- Which value of density does entry 4 give?
  8.05 g/cm³